DFT (GGA+U) results for an optimized crystal structure of ZnCoPO5.

It has space group P-1 (No. 2), with a = 5.354 Å, b = 5.459 Å, c = 6.917 Å, α = 106.84°, β = 106.56° and γ = 97.69°. The asymmetric unit holds Zn at (0.242, 0.368, 0.254), Co at (0.500, 0.000, 0.000), Co at (0.500, 0.000, 0.500), P at (0.174, 0.388, 0.760), O at (0.128, 0.711, 0.379), O at (0.190, 0.691, 0.858), O at (0.253, 0.265, 0.937), O at (0.358, 0.339, 0.619) and O at (0.411, 0.072, 0.249).

The value obtained for the total magnetization is 6.05 Bohr magnetons per cell. The raw total energy comes out at -98.97 eV per cell.